UCo2P2: relaxed, GGA-PBE.

For the formation energy, the calculation gives -3.2 eV/f.u. Its raw total energy is -316.18 eV per cell.

The space group is Fddd (No. 70, origin choice 2) and the conventional cell measures 6.6089, 9.5320 and 9.7030 Å, with angles of 90.00, 90.00 and 90.00 degrees. The distinct sites, in fractional coordinates, are U at (0.1250, 0.1250, 0.1250), Co at (0.1250, 0.1250, 0.4986) and P at (0.1250, 0.3181, 0.6250).